Rb12MgCl4O4, optimized geometry, DFT PBE; space-group type = P1, No. 1; ΔE to the lowest computed polymorph = 6 meV per atom
1.0
8.039 -0.159 0.534
0.134 7.707 -0.278
2.319 -0.310 12.376
Rb Mg Cl O
12 1 4 4
direct
0.399 0.993 0.194
0.419 0.690 0.571
0.229 0.764 0.935
0.747 0.824 0.933
0.870 0.773 0.580
0.869 0.628 0.192
0.981 0.424 0.754
0.141 0.255 0.012
0.321 0.161 0.522
0.637 0.335 0.031
0.808 0.173 0.408
0.514 0.115 0.763
0.198 0.522 0.377
0.832 0.030 0.152
0.520 0.413 0.321
0.570 0.542 0.775
0.082 0.001 0.753
0.442 0.040 0.987
0.604 0.987 0.552
0.942 0.533 0.975
0.133 0.495 0.530